Material: Ba4LaIn5
Method: DFT, PBE
State: optimized geometry

Calculated values
* DFT formation energy: -0.408 eV/atom
* magnetization: 0.0 μB/f.u.

a = 4.1925 Å, b = 4.1925 Å, c = 21.2528 Å
α = 90.00°, β = 90.00°, γ = 90.00°
Element x y z (fractional)
1 Ba 0.0000 0.0000 0.1024
2 Ba 0.0000 0.0000 0.3093
3 Ba 0.0000 0.0000 0.6907
4 Ba 0.0000 0.0000 0.8976
5 La 0.0000 0.0000 0.5000
6 In 0.5000 0.5000 0.0000
7 In 0.5000 0.5000 0.2042
8 In 0.5000 0.5000 0.4179
9 In 0.5000 0.5000 0.5821
10 In 0.5000 0.5000 0.7958

***

Material: BaLa4In
Method: DFT, PBE
State: optimized geometry

Calculated values
* DFT formation energy: 0.144 eV/atom
* magnetization: 0.0 μB/f.u.

a = 6.8270 Å, b = 6.8270 Å, c = 6.8270 Å
α = 60.00°, β = 60.00°, γ = 60.00°
Element x y z (fractional)
1 Ba 0.0000 0.0000 0.0000
2 La 0.3792 0.3792 0.3792
3 La 0.3792 0.3792 0.8625
4 La 0.3792 0.8625 0.3792
5 La 0.8625 0.3792 0.3792
6 In 0.7500 0.7500 0.7500

***

Material: BaLa2In
Method: DFT, PBE
State: optimized geometry

Calculated values
* DFT formation energy: -0.007 eV/atom
* magnetization: 2.2 μB/f.u.

a = 5.8806 Å, b = 5.8806 Å, c = 5.8806 Å
α = 60.00°, β = 60.00°, γ = 60.00°
Element x y z (fractional)
1 Ba 0.0000 0.0000 0.0000
2 La 0.2500 0.2500 0.2500
3 La 0.5000 0.5000 0.5000
4 In 0.7500 0.7500 0.7500